(1)
Here is CePPd2 after structural relaxation from the Alexandria database. Energies are from PBE.

POSCAR file:
```
CePPd2
1.0
2.0544 -4.9545 0.0000
2.0544 4.9545 0.0000
0.0000 0.0000 7.0880
Ce P Pd
2 2 4
Cartesian
2.0544 4.3513 5.3160
2.0544 -4.3513 1.7720
2.0544 2.7292 1.7720
2.0544 -2.7292 5.3160
2.0544 1.3997 3.9221
2.0544 1.3997 6.7100
2.0544 -1.3997 0.3781
2.0544 -1.3997 3.1659
```

Calculated values
mass density = 8.8 g/cm³
volume = 144 Å³ per cell
DOS at the Fermi energy = 8.4 states/eV/cell
DFT formation energy = -0.901 eV/atom
electronic total energy = -6.333 eV per atom
total magnetization = 0.06 μB per formula unit
space group = Cmcm


(2)
Here is CePPd after structural relaxation from the Alexandria database. Energies are from PBE.

POSCAR file:
```
CePPd
1.0
0.0000 3.2038 3.2038
3.2038 0.0000 3.2038
3.2038 3.2038 0.0000
Ce P Pd
1 1 1
Cartesian
0.0000 0.0000 0.0000
1.6019 1.6019 1.6019
3.2038 3.2038 3.2038
```

Calculated values
mass density = 7.0 g/cm³
volume = 66 Å³ per cell
DOS at the Fermi energy = 3.5 states/eV/cell
DFT formation energy = -0.904 eV/atom
electronic total energy = -6.417 eV per atom
total magnetization = 0.99 μB per formula unit
space group = F-43m


(3)
Here is Ce3P4Pd4 after structural relaxation from the Alexandria database. Energies are from PBE.

POSCAR file:
```
Ce3P4Pd4
1.0
-2.0275 2.0678 12.2619
2.0275 -2.0678 12.2619
2.0275 2.0678 -12.2619
Ce P Pd
3 4 4
Cartesian
0.0000 0.0000 0.0000
2.0275 0.0000 8.6298
0.0000 2.0678 3.6321
2.0275 0.0000 4.6870
0.0000 0.0000 11.1241
0.0000 0.0000 13.3997
0.0000 2.0678 7.5749
2.0275 0.0000 2.3093
0.0000 0.0000 6.1531
0.0000 0.0000 18.3707
0.0000 2.0678 9.9526
```

Calculated values
mass density = 7.8 g/cm³
volume = 206 Å³ per cell
E above lowest polymorph = 9 meV/atom
DOS at the Fermi energy = 13.9 states/eV/cell
DFT formation energy = -1.081 eV/atom
electronic total energy = -6.555 eV per atom
total magnetization = 1.70 μB per formula unit
space group = Immm


(4)
Here is Ce3P3Pd2 after structural relaxation from the Alexandria database. Energies are from PBE.

POSCAR file:
```
Ce3P3Pd2
1.0
2.0782 -5.4465 0.0000
2.0782 5.4465 0.0000
0.0000 0.0000 14.1357
Ce P Pd
6 6 4
Cartesian
2.0782 4.6318 8.5848
2.0782 4.6318 12.6188
2.0782 1.4974 10.6018
2.0782 -1.4974 3.5339
2.0782 -4.6318 1.5169
2.0782 -4.6318 5.5509
2.0782 1.6159 3.5339
2.0782 1.3191 7.7295
2.0782 1.3191 13.4741
2.0782 -1.3191 0.6616
2.0782 -1.3191 6.4062
2.0782 -1.6159 10.6018
2.0782 3.0454 1.3842
2.0782 3.0454 5.6836
2.0782 -3.0454 8.4521
2.0782 -3.0454 12.7515
```

Calculated values
mass density = 7.5 g/cm³
volume = 320 Å³ per cell
DOS at the Fermi energy = 26.0 states/eV/cell
DFT formation energy = -1.118 eV/atom
electronic total energy = -6.670 eV per atom
total magnetization = 2.49 μB per formula unit
space group = Cmcm


(5)
Here is Ce2P3PdPt12 after structural relaxation from the Alexandria database. Energies are from PBE.

POSCAR file:
```
Ce2P3PdPt12
1.0
4.1127 2.3745 5.9460
-4.1127 2.3745 5.9460
0.0000 -4.7489 5.9460
Ce P Pd Pt
2 3 1 12
Cartesian
0.0000 0.0000 2.0664
0.0000 0.0000 15.7716
-2.0563 -1.1872 5.9460
-2.0563 1.1872 11.8920
0.0000 2.3745 5.9460
0.0000 0.0000 8.9190
-2.1407 -1.2360 8.2468
0.0000 -2.1636 5.4043
-1.8737 1.0818 5.4043
0.0000 -2.4719 9.5912
-2.1407 1.2360 9.5912
-1.8737 -1.0818 12.4337
1.8737 1.0818 5.4043
2.1407 -1.2360 8.2468
0.0000 2.4719 8.2468
1.8737 -1.0818 12.4337
0.0000 2.1636 12.4337
2.1407 1.2360 9.5912
```

Calculated values
mass density = 13.4 g/cm³
volume = 348 Å³ per cell
DOS at the Fermi energy = 12.4 states/eV/cell
DFT formation energy = -0.382 eV/atom
electronic total energy = -6.258 eV per atom
total magnetization = 0.17 μB per formula unit
space group = R-3m


(6)
Here is Ce2P3PdPt4 after structural relaxation from the Alexandria database. Energies are from PBE.

POSCAR file:
```
Ce2P3PdPt4
1.0
4.1548 0.0000 0.0000
0.0000 4.1548 0.0000
0.0000 0.0000 10.4304
Ce P Pd Pt
2 3 1 4
Cartesian
0.0000 2.0774 2.6108
2.0774 0.0000 7.8196
0.0000 0.0000 0.0000
0.0000 2.0774 6.5268
2.0774 0.0000 3.9036
2.0774 2.0774 0.0000
0.0000 0.0000 5.2152
0.0000 2.0774 8.8017
2.0774 0.0000 1.6287
2.0774 2.0774 5.2152
```

Calculated values
mass density = 11.6 g/cm³
volume = 180 Å³ per cell
DOS at the Fermi energy = 11.1 states/eV/cell
DFT formation energy = -0.878 eV/atom
electronic total energy = -6.624 eV per atom
total magnetization = 0.67 μB per formula unit
space group = P-4m2


(7)
Here is Ce2P4PdPt3 after structural relaxation from the Alexandria database. Energies are from PBE.

POSCAR file:
```
Ce2P4PdPt3
1.0
4.3351 0.0000 0.0000
0.0000 4.3351 0.0000
0.0000 0.0000 9.4301
Ce P Pd Pt
2 4 1 3
Cartesian
0.0000 2.1675 2.3212
2.1675 0.0000 7.1089
0.0000 0.0000 0.0000
0.0000 2.1675 5.9632
2.1675 0.0000 3.4668
2.1675 2.1675 0.0000
0.0000 0.0000 4.7150
0.0000 2.1675 8.3549
2.1675 0.0000 1.0752
2.1675 2.1675 4.7150
```

Calculated values
mass density = 10.3 g/cm³
volume = 177 Å³ per cell
DOS at the Fermi energy = 12.4 states/eV/cell
DFT formation energy = -0.990 eV/atom
electronic total energy = -6.672 eV per atom
total magnetization = 1.39 μB per formula unit
space group = P-4m2


(8)
Here is Ce3P6Pd2Rh after structural relaxation from the Alexandria database. Energies are from PBE.

POSCAR file:
```
Ce3P6Pd2Rh
1.0
5.7574 0.0000 0.0000
-2.8787 4.9861 0.0000
0.0000 0.0000 7.6914
Ce P Pd Rh
3 6 2 1
Cartesian
0.0000 0.0000 0.0000
0.0000 3.3241 4.9030
2.8787 1.6620 2.7883
0.0000 1.8349 2.2500
-1.2896 4.0686 2.2500
1.5891 0.9175 5.4414
1.2896 4.0686 2.2500
4.1684 0.9175 5.4414
2.8787 3.1512 5.4414
0.0000 3.3241 0.2610
2.8787 1.6620 7.4304
0.0000 0.0000 3.8457
```

Calculated values
mass density = 6.9 g/cm³
volume = 221 Å³ per cell
DOS at the Fermi energy = 9.4 states/eV/cell
DFT formation energy = -0.738 eV/atom
electronic total energy = -6.404 eV per atom
total magnetization = 0.09 μB per formula unit
space group = P-3m1


(9)
Here is Ce2SbP3Pd4 after structural relaxation from the Alexandria database. Energies are from PBE.

POSCAR file:
```
Ce2SbP3Pd4
1.0
4.2047 0.0000 0.0000
0.0000 4.2047 0.0000
0.0000 0.0000 10.6579
Ce Sb P Pd
2 1 3 4
Cartesian
0.0000 2.1023 2.4218
2.1023 0.0000 8.2361
0.0000 0.0000 5.3289
0.0000 2.1023 9.2844
2.1023 0.0000 1.3734
2.1023 2.1023 5.3289
0.0000 0.0000 0.0000
0.0000 2.1023 6.9289
2.1023 0.0000 3.7289
2.1023 2.1023 0.0000
```

Calculated values
mass density = 8.1 g/cm³
volume = 188 Å³ per cell
DOS at the Fermi energy = 13.3 states/eV/cell
electronic total energy = -6.128 eV per atom
ΔE_f (raw) = -0.829 eV per atom
total magnetization = 1.14 μB per formula unit
space group = P-4m2


(10)
Here is CeP2Pd7Se2 after structural relaxation from the Alexandria database. Energies are from PBE.

POSCAR file:
```
CeP2Pd7Se2
1.0
2.8909 -3.4952 0.0000
2.8909 3.4952 0.0000
-0.5253 0.0000 11.1836
Ce P Pd Se
1 2 7 2
Cartesian
0.0000 0.0000 0.0000
1.3904 0.0000 9.0525
3.8661 0.0000 2.1310
1.8948 1.3882 2.5075
1.7263 0.0000 6.7197
3.3617 1.3882 8.6761
2.8909 0.0000 0.0000
1.8948 -1.3882 2.5075
3.5302 0.0000 4.4639
3.3617 -1.3882 8.6761
0.8350 0.0000 4.3945
4.4215 0.0000 6.7891
```

Calculated values
mass density = 8.1 g/cm³
volume = 226 Å³ per cell
DOS at the Fermi energy = 12.7 states/eV/cell
electronic total energy = -5.430 eV per atom
ΔE_f (raw) = -0.424 eV per atom
total magnetization = 0.89 μB per formula unit
space group = C2/m


(11)
Here is Ce2SnP3Pd4 after structural relaxation from the Alexandria database. Energies are from PBE.

POSCAR file:
```
Ce2SnP3Pd4
1.0
4.1595 0.0000 0.0000
0.0000 4.1595 0.0000
0.0000 0.0000 10.8265
Ce Sn P Pd
2 1 3 4
Cartesian
0.0000 2.0797 2.4586
2.0797 0.0000 8.3680
0.0000 0.0000 5.4133
0.0000 2.0797 9.4273
2.0797 0.0000 1.3993
2.0797 2.0797 5.4133
0.0000 0.0000 0.0000
0.0000 2.0797 7.0739
2.0797 0.0000 3.7527
2.0797 2.0797 0.0000
```

Calculated values
mass density = 8.1 g/cm³
volume = 187 Å³ per cell
DOS at the Fermi energy = 13.5 states/eV/cell
DFT formation energy = -0.846 eV/atom
electronic total energy = -6.133 eV per atom
total magnetization = 1.10 μB per formula unit
space group = P-4m2


(12)
Here is SrCeP2Pd4 after structural relaxation from the Alexandria database. Energies are from PBE.

POSCAR file:
```
SrCeP2Pd4
1.0
4.1408 0.0000 0.0000
0.0000 4.1408 0.0000
0.0000 0.0000 9.7828
Sr Ce P Pd
1 1 2 4
Cartesian
0.0000 0.0000 0.0000
0.0000 0.0000 4.8914
2.0704 2.0704 1.6085
2.0704 2.0704 8.1743
0.0000 2.0704 2.8022
0.0000 2.0704 6.9805
2.0704 0.0000 2.8022
2.0704 0.0000 6.9805
```

Calculated values
mass density = 7.1 g/cm³
volume = 168 Å³ per cell
DOS at the Fermi energy = 10.9 states/eV/cell
DFT formation energy = -0.695 eV/atom
electronic total energy = -5.596 eV per atom
total magnetization = 0.63 μB per formula unit
space group = P4/mmm


Which value of mass density does entry 12 give? 7.1 g/cm³


What is the volume in the seventh record? 177 Å³ per cell


Which value of mass density does entry 8 give? 6.9 g/cm³


Which of these has the highest electronic total energy? CeP2Pd7Se2